1.
A relaxed Fe2Si2PdPt crystal. Source: OQMD, functional PBE.

Cell and atoms, written as POSCAR:
```
Fe2Si2PdPt
1.0
-2.783 2.212 -0.226
-1.778 -2.431 -1.902
-2.329 -2.394 5.236
Pd Fe Pt Si
1 2 1 2
direct
0.000 0.000 0.865
0.000 0.500 0.499
0.500 0.000 0.499
0.500 0.500 0.138
0.000 0.000 0.249
0.500 0.500 0.749
```

## Properties
SG: P4mm

=====

2.
A relaxed TlFePdPt crystal. Source: OQMD, functional PBE.

Cell and atoms, written as POSCAR:
```
TlFePdPt
1.0
0.000 3.207 3.207
3.207 0.000 3.207
3.207 3.207 0.000
Pd Pt Fe Tl
1 1 1 1
direct
0.250 0.250 0.250
0.500 0.500 0.500
0.750 0.750 0.750
0.000 0.000 0.000
```

## Properties
Energy above the most stable polymorph in this dataset in eV/atom: 0.0000
SG: F-43m

=====

3.
A relaxed RbFePd crystal. Source: OQMD, functional PBE.

Cell and atoms, written as POSCAR:
```
RbFePd
1.0
0.000 3.456 3.456
3.456 0.000 3.456
3.456 3.456 0.000
Rb Pd Fe
1 1 1
direct
0.750 0.750 0.750
0.000 0.000 0.000
0.250 0.250 0.250
```

## Properties
Energy above the most stable polymorph in this dataset in eV/atom: 0.0000
SG: F-43m

=====

What calculated total energy values result from the calculations? In sequence: -41.49, -21.56, -11.14 eV/cell.